Entry from Alexandria via LeMat-Bulk: a relaxed structure of Ca2Tl4Pb (PBE-GGA).

Structure (POSCAR):
```
Ca2Tl4Pb
1.0
-1.2994 1.5103 -5.5177
-1.1888 -5.6060 -1.2545
-6.4460 3.2025 5.5131
Ca Tl Pb
2 4 1
Cartesian
-2.9917 -1.7854 -2.9027 Ca
-5.9424 0.8923 1.6436 Ca
-6.0245 -1.3300 -2.0639 Tl
-2.9096 0.4369 0.8048 Tl
-0.5944 -2.8030 -0.6273 Tl
-0.6497 0.7552 -2.7588 Tl
0.0000 0.0000 0.0000 Pb
```

energy of formation = 0.13 eV/atom
space-group type = No. 139
final energy = -2.321 eV/atom
ΔE to the lowest computed polymorph = 7.70 kcal/mol of atoms